# CrTeRh4 | the Alexandria database | PBE | optimized geometry
data_CrTeRh4
_symmetry_space_group_name_H-M 'F -4 3 m'
_symmetry_Int_Tables_number 216
_symmetry_space_group_name_Hall 'F -4 2 3'
_cell_length_a 7.362
_cell_length_b 7.362
_cell_length_c 7.362
_cell_angle_alpha 90.00
_cell_angle_beta 90.00
_cell_angle_gamma 90.00
loop_
_atom_site_label
_atom_site_fract_x
_atom_site_fract_y
_atom_site_fract_z
Cr1 0.000 0.000 0.000
Te1 0.250 0.250 0.250
Rh1 0.125 0.125 0.625
# Calculated volume = 399.0 Å³ per cell
# Total energy = -161.22 eV per cell